VASP calculation (GGA-PBE) on a geometry-optimized LiReAu2 structure.

a b c (Å): 2.6784 4.5345 5.5218
angles (deg): 90.00 90.00 90.00
Positions (direct):
Au: 0.0000 0.0000 0.9399
Au: 0.5000 0.5000 0.3023
Li: 0.0000 0.0000 0.4629
Re: 0.5000 0.5000 0.7950

Values from the calculation:
- E above lowest polymorph: 204.6 meV/atom
- ΔE_f: 0.257 eV/atom
- Mass density: 14.54 g/cm³

VASP calculation (GGA-PBE) on a geometry-optimized TaCrSeN2 structure.

a b c (Å): 3.9785 3.9785 5.4329
angles (deg): 90.00 90.00 90.00
Last column: magnetic moment on the atom in μB.
Positions (direct):
Cr: 0.5000 0.5000 0.5000  3.90
N: 0.0000 0.5000 0.0000  -0.23
N: 0.5000 0.0000 0.0000  -0.23
Se: 0.0000 0.0000 0.5000  -0.10
Ta: 0.0000 0.0000 0.0000  0.07

Values from the calculation:
- E above lowest polymorph: 0.0 meV/atom
- Mass density: 6.56 g/cm³

VASP calculation (GGA-PBE) on a geometry-optimized Ho2BeSnPd6 structure.

a b c (Å): 5.8465 7.6183 5.8463
angles (deg): 67.49 60.00 89.99
Positions (direct):
Ho: 0.7700 0.3100 0.4603
Ho: 0.2300 0.6900 0.5397
Be: 0.5000 0.5000 0.0000
Sn: 0.0000 0.0000 0.0000
Pd: 0.2652 0.3144 0.4700
Pd: 0.7353 0.6864 0.0483
Pd: 0.2163 0.6863 0.0482
Pd: 0.7837 0.3137 0.9518
Pd: 0.2647 0.3136 0.9517
Pd: 0.7348 0.6856 0.5300

Values from the calculation:
- ΔE_f: -0.630 eV/atom
- Mass density: 9.00 g/cm³

VASP calculation (GGA-PBE) on a geometry-optimized Tl2CrRh structure.

a b c (Å): 5.5367 5.5367 5.5367
angles (deg): 136.85 136.85 62.67
Last column: magnetic moment on the atom in μB.
Positions (direct):
Cr: 0.5000 0.5000 0.0000  3.72
Rh: 0.7500 0.2500 0.5000  0.32
Tl: 0.0000 0.0000 0.0000  0.01
Tl: 0.2500 0.7500 0.5000  0.02

Values from the calculation:
- E above lowest polymorph: 136.1 meV/atom
- ΔE_f: 0.426 eV/atom
- Mass density: 11.94 g/cm³